No. 1
# Ca2SbW GGA-PBE optimized geometry
data_Ca2SbW
_symmetry_space_group_name_H-M 'P 4 m m'
_symmetry_Int_Tables_number 99
_cell_length_a 3.566
_cell_length_b 3.566
_cell_length_c 8.618
_cell_angle_alpha 90.00
_cell_angle_beta 90.00
_cell_angle_gamma 90.00
loop_
_symmetry_equiv_pos_as_xyz
'x,y,z'
'-y,x,z'
'-x,-y,z'
'y,-x,z'
'-x,y,z'
'y,x,z'
'x,-y,z'
'-y,-x,z'
loop_
_atom_site_label
_atom_site_fract_x
_atom_site_fract_y
_atom_site_fract_z
Ca1 0.000 0.000 0.000
Ca2 0.500 0.500 0.378
Sb1 0.000 0.000 0.621
W1 0.500 0.500 0.759
# Uncorrected formation energy ... 0.198 eV per atom
# E ... -5.072 eV per atom

No. 2
# Ca2SbW GGA-PBE optimized geometry
data_Ca2SbW
_symmetry_space_group_name_H-M 'I 4/m m m'
_symmetry_Int_Tables_number 139
_symmetry_space_group_name_Hall '-I 4 2'
_cell_length_a 4.476
_cell_length_b 4.476
_cell_length_c 9.543
_cell_angle_alpha 90.00
_cell_angle_beta 90.00
_cell_angle_gamma 90.00
loop_
_atom_site_label
_atom_site_fract_x
_atom_site_fract_y
_atom_site_fract_z
Ca1 0.000 0.500 0.250
Sb1 0.000 0.000 0.000
W1 0.000 0.000 0.500
# Uncorrected formation energy ... 0.462 eV per atom
# E ... -4.807 eV per atom

No. 3
# CaSb2W GGA-PBE optimized geometry
data_CaSb2W
_symmetry_space_group_name_H-M 'A m m 2'
_symmetry_Int_Tables_number 38
_cell_length_a 5.215
_cell_length_b 3.755
_cell_length_c 10.379
_cell_angle_alpha 90.00
_cell_angle_beta 90.00
_cell_angle_gamma 90.00
loop_
_symmetry_equiv_pos_as_xyz
'x,y,z'
'-x,-y,z'
'-x,y,z'
'x,-y,z'
'x,y+1/2,z+1/2'
'-x,-y+1/2,z+1/2'
'-x,y+1/2,z+1/2'
'x,-y+1/2,z+1/2'
loop_
_atom_site_label
_atom_site_fract_x
_atom_site_fract_y
_atom_site_fract_z
Ca1 0.000 0.000 0.000
Sb1 0.000 0.000 0.279
Sb2 0.500 0.000 0.588
W1 0.500 0.000 0.292
# Uncorrected formation energy ... 0.220 eV per atom
# E ... -5.580 eV per atom

| no. | M_tot (μB/atom) |
| --- | --- |
| 1 | 0.000 |
| 2 | 0.505 |
| 3 | 0.000 |